This record from Alexandria describes a crystal of Ni2SbP relaxed with PBEsol. The functional is meta-GGA SCAN.

The structure belongs to space group Pmm2 (No. 25); the cell edges are 2.973, 3.432 and 5.657 Å and the angles 90.00°, 90.00° and 90.00°. Symmetry generates all atoms from Ni at (0.000, 0.000, 0.000), Ni at (0.500, 0.500, 0.276), Sb at (0.500, 0.500, 0.775) and P at (0.000, 0.000, 0.379).

For the total magnetization, the calculation gives 0.00 μB/cell. The distance to the lowest polymorph of the same formula is 0.0 meV/atom. The formation energy from raw total energies is -0.05 eV per atom.



This record from Alexandria describes a crystal of Ba2CdTc relaxed with PBEsol. The functional is meta-GGA SCAN.

The structure belongs to space group P4mm (No. 99); the cell edges are 3.752, 3.752 and 9.042 Å and the angles 90.00°, 90.00° and 90.00°. Symmetry generates all atoms from Ba at (0.000, 0.000, 0.000), Ba at (0.500, 0.500, 0.419), Cd at (0.000, 0.000, 0.656) and Tc at (0.500, 0.500, 0.746).

For the total magnetization, the calculation gives 0.47 μB/cell. The distance to the lowest polymorph of the same formula is 0.0 meV/atom. Its formation energy is 0.5032 eV per atom.



This record from Alexandria describes a crystal of TaGe3I relaxed with PBEsol. The functional is meta-GGA SCAN.

The structure belongs to space group Pm-3m (No. 221); the cell edges are 5.122, 5.122 and 5.122 Å and the angles 90.00°, 90.00° and 90.00°. Symmetry generates all atoms from Ta at (0.000, 0.000, 0.000), Ge at (0.000, 0.500, 0.500) and I at (0.500, 0.500, 0.500).

For the total magnetization, the calculation gives 2.04 μB/cell. The formation energy from raw total energies is 2.13 eV per atom.



This record from Alexandria describes a crystal of LaNi2As relaxed with PBEsol. The functional is meta-GGA SCAN.

The structure belongs to space group Pmmm (No. 47); the cell edges are 3.892, 4.116 and 4.804 Å and the angles 90.00°, 90.00° and 90.00°. Symmetry generates all atoms from La at (0.000, 0.000, 0.000), Ni at (0.500, 0.500, 0.244) and As at (0.000, 0.500, 0.500).

For the total magnetization, the calculation gives 0.00 μB/cell. Its formation energy is -0.5765 eV per atom.



This record from Alexandria describes a crystal of AsSeCl2 relaxed with PBEsol. The functional is meta-GGA SCAN.

The structure belongs to space group C2/m (No. 12); the cell edges are 6.032, 8.735 and 4.341 Å and the angles 90.00°, 133.78° and 90.00°. Symmetry generates all atoms from As at (0.000, 0.000, 0.000), Se at (0.000, 0.500, 0.000) and Cl at (0.250, 0.250, 0.500).

For the total magnetization, the calculation gives 0.00 μB/cell. The distance to the lowest polymorph of the same formula is 469.6 meV/atom. The formation energy from raw total energies is 0.26 eV per atom.



This record from Alexandria describes a crystal of TaInRe2 relaxed with PBEsol. The functional is meta-GGA SCAN.

The structure belongs to space group P4/mmm (No. 123); the cell edges are 3.254, 3.254 and 6.222 Å and the angles 90.00°, 90.00° and 90.00°. Symmetry generates all atoms from Ta at (0.000, 0.000, 0.000), In at (0.000, 0.000, 0.500) and Re at (0.500, 0.500, 0.235).

For the total magnetization, the calculation gives 0.00 μB/cell. Its formation energy is 0.1286 eV per atom.



This record from Alexandria describes a crystal of TlMoP2 relaxed with PBEsol. The functional is meta-GGA SCAN.

The structure belongs to space group I-42d (No. 122); the cell edges are 5.900, 5.900 and 11.278 Å and the angles 90.00°, 90.00° and 90.00°. Symmetry generates all atoms from Tl at (0.000, 0.000, 0.000), Mo at (0.000, 0.000, 0.500) and P at (0.174, 0.250, 0.625).

For the total magnetization, the calculation gives 0.01 μB/cell. The distance to the lowest polymorph of the same formula is 45.8 meV/atom. Its formation energy is 0.2050 eV per atom.



This record from Alexandria describes a crystal of TlBiH3 relaxed with PBEsol. The functional is meta-GGA SCAN.

The structure belongs to space group Pm-3m (No. 221); the cell edges are 4.326, 4.326 and 4.326 Å and the angles 90.00°, 90.00° and 90.00°. Symmetry generates all atoms from Tl at (0.000, 0.000, 0.000), Bi at (0.500, 0.500, 0.500) and H at (0.000, 0.500, 0.500).

For the total magnetization, the calculation gives 0.00 μB/cell. The uncorrected energy comes out at -31.74 eV per atom.